# Pm4NdSe5

Crystalline Pm4NdSe5 at its relaxed geometry (PBE, Alexandria).

It has space group R-3m (No. 166, hexagonal axes), with a = 4.2172 Å, b = 4.2172 Å, c = 51.1615 Å, α = 90.00°, β = 90.00° and γ = 120.00°. Symmetry generates all atoms from Pm at (0.0000, 0.0000, 0.0997), Pm at (0.0000, 0.0000, 0.3001), Nd at (0.0000, 0.0000, 0.5000), Se at (0.0000, 0.0000, 0.0000), Se at (0.0000, 0.0000, 0.2006) and Se at (0.0000, 0.0000, 0.3998).

The calculation puts the uncorrected formation energy at -18.345 eV per formula unit. The magnetization is 0.00 μB per formula unit. The mass density comes out at 7.1 Mg/m³. The density of states at the Fermi level comes out at 15.96 states/eV/cell.